# RbBa2Zn3F12

A geometry-optimized RbBa2Zn3F12 structure (PBE, Alexandria via LeMat-Bulk).

The structure in CIF format:
```
data_RbBa2Zn3F12
_chemical_formula_sum 'Rb3 Ba6 Zn9 F36'
_cell_length_a 7.5267
_cell_length_b 7.5267
_cell_length_c 17.3338
_cell_angle_alpha 90.00
_cell_angle_beta 90.00
_cell_angle_gamma 120.00
_space_group_name_H-M_alt 'R -3 m'
_space_group_IT_number 166
_space_group_name_Hall '-R 3 2"'
loop_
_atom_site_label
_atom_site_type_symbol
_atom_site_fract_x
_atom_site_fract_y
_atom_site_fract_z
_atom_site_occupancy
Rb1 Rb 0.0000 0.0000 0.0000 1
Ba1 Ba 0.0000 0.0000 0.3854 1
Zn1 Zn 0.0000 0.5000 0.5000 1
F1 F 0.0542 0.5271 0.8080 1
F2 F 0.0697 0.5349 0.3896 1
```

formation energy (no corrections)	-2.73	eV per atom

=====

# Sc8AlOs2

A geometry-optimized Sc8AlOs2 structure (PBE, Alexandria via LeMat-Bulk).

The structure in CIF format:
```
data_Sc8AlOs2
_chemical_formula_sum 'Sc16 Al2 Os4'
_cell_length_a 8.096
_cell_length_b 14.679
_cell_length_c 4.812
_cell_angle_alpha 90.00
_cell_angle_beta 126.45
_cell_angle_gamma 90.00
_space_group_name_H-M_alt 'C 1 m 1'
_space_group_IT_number 8
loop_
_space_group_symop_operation_xyz
'x,y,z'
'x,-y,z'
'x+1/2,y+1/2,z'
'x+1/2,-y+1/2,z'
loop_
_atom_site_label
_atom_site_type_symbol
_atom_site_fract_x
_atom_site_fract_y
_atom_site_fract_z
_atom_site_occupancy
Sc1 Sc 0.000 0.000 0.000 1
Sc2 Sc 0.071 0.388 0.571 1
Sc3 Sc 0.278 0.000 0.777 1
Sc4 Sc 0.386 0.207 0.887 1
Sc5 Sc 0.427 0.331 0.428 1
Al1 Al 0.208 0.500 0.208 1
Os1 Os 0.187 0.169 0.189 1
```

formation energy	-0.3103	eV per atom

=====

# KPb

A geometry-optimized KPb structure (PBE, Alexandria via LeMat-Bulk).

The structure in CIF format:
```
data_KPb
_chemical_formula_sum 'K4 Pb4'
_cell_length_a 6.770
_cell_length_b 6.770
_cell_length_c 6.770
_cell_angle_alpha 90.00
_cell_angle_beta 90.00
_cell_angle_gamma 90.00
_space_group_name_H-M_alt 'P 21 3'
_space_group_IT_number 198
_space_group_name_Hall 'P 2ac 2ab 3'
loop_
_atom_site_label
_atom_site_type_symbol
_atom_site_fract_x
_atom_site_fract_y
_atom_site_fract_z
_atom_site_occupancy
K1 K 0.092 0.408 0.592 1
Pb1 Pb 0.104 0.896 0.396 1
```

formation energy	0.0624	eV per atom